Arrangement a

RbSrHf: optimized geometry, PBE.

POSCAR file:
```
RbSrHf
1.0
0.0000 4.3123 4.3123
4.3123 0.0000 4.3123
4.3123 4.3123 0.0000
Rb Sr Hf
1 1 1
direct
0.7500 0.7500 0.7500 Rb
0.0000 0.0000 0.0000 Sr
0.2500 0.2500 0.2500 Hf
```

spin magnetization = 3.38 Bohr magnetons per cell

=====

Arrangement b

RbSrHf: optimized geometry, PBE.

POSCAR file:
```
RbSrHf
1.0
0.0000 4.1619 4.1619
4.1619 0.0000 4.1619
4.1619 4.1619 0.0000
Sr Hf Rb
1 1 1
direct
0.7500 0.7500 0.7500 Sr
0.2500 0.2500 0.2500 Hf
0.0000 0.0000 0.0000 Rb
```

spin magnetization = 2.68 Bohr magnetons per cell

=====

Most stable structure, least stable structure: arrangement a, arrangement b.

=====

Arrangement a

RbHfTlTe3: optimized geometry, PBE.

POSCAR file:
```
RbHfTlTe3
1.0
16.5653 0.0000 0.0000
0.0000 4.2292 0.0000
0.0000 0.0000 12.7872
Rb Te Tl Hf
4 12 4 4
direct
0.7326 0.7500 0.3895 Rb
0.7674 0.2500 0.8895 Rb
0.2326 0.7500 0.1105 Rb
0.2674 0.2500 0.6105 Rb
0.9394 0.7500 0.8487 Te
0.3119 0.2500 0.8928 Te
0.9476 0.7500 0.3911 Te
0.6881 0.7500 0.1072 Te
0.4394 0.7500 0.6513 Te
0.4476 0.7500 0.1089 Te
0.1881 0.7500 0.3928 Te
0.0606 0.2500 0.1513 Te
0.0524 0.2500 0.6089 Te
0.5606 0.2500 0.3487 Te
0.8119 0.2500 0.6072 Te
0.5524 0.2500 0.8911 Te
0.9179 0.7500 0.1307 Tl
0.4179 0.7500 0.3693 Tl
0.5821 0.2500 0.6307 Tl
0.0821 0.2500 0.8693 Tl
0.9302 0.7500 0.6306 Hf
0.4302 0.7500 0.8694 Hf
0.0698 0.2500 0.3694 Hf
0.5698 0.2500 0.1306 Hf
```

spin magnetization = 0.01 Bohr magnetons per cell

=====

Arrangement b

RbHfTlTe3: optimized geometry, PBE.

POSCAR file:
```
RbHfTlTe3
1.0
8.6426 0.0000 0.0000
0.0000 4.2509 0.0000
-1.2090 0.0000 11.6804
Te Tl Hf Rb
6 2 2 2
direct
0.1202 0.2500 0.2028 Te
0.3114 0.7500 0.4872 Te
0.4409 0.2500 0.7821 Te
0.8798 0.7500 0.7972 Te
0.5591 0.7500 0.2179 Te
0.6886 0.2500 0.5128 Te
0.0582 0.2500 0.6425 Tl
0.9418 0.7500 0.3575 Tl
0.5936 0.7500 0.6640 Hf
0.4064 0.2500 0.3360 Hf
0.7514 0.2500 0.0207 Rb
0.2486 0.7500 0.9793 Rb
```

spin magnetization = 0.01 Bohr magnetons per cell

=====

Most stable structure, least stable structure: arrangement b, arrangement a.

=====

Arrangement a

RbHfW: optimized geometry, PBE.

POSCAR file:
```
RbHfW
1.0
0.0000 3.3618 3.3618
3.3618 0.0000 3.3618
3.3618 3.3618 0.0000
Hf Rb W
1 1 1
direct
0.2500 0.2500 0.2500 Hf
0.0000 0.0000 0.0000 Rb
0.7500 0.7500 0.7500 W
```

spin magnetization = 2.25 Bohr magnetons per cell

=====

Arrangement b

RbHfW: optimized geometry, PBE.

POSCAR file:
```
RbHfW
1.0
-2.8522 -1.5664 3.6549
-4.8602 -0.1024 -0.5607
-2.3295 -4.2868 -0.3791
Hf Rb W
1 1 1
direct
0.2500 0.2500 0.2500 Hf
0.7500 0.7500 0.7500 Rb
0.0000 0.0000 0.0000 W
```

spin magnetization = 0.68 Bohr magnetons per cell

=====

Most stable structure, least stable structure: arrangement b, arrangement a.

=====

Arrangement a

RbHfZn: optimized geometry, PBE.

POSCAR file:
```
RbHfZn
1.0
1.4690 -1.7688 4.5263
-2.7129 -3.6127 2.3159
1.8614 -4.7060 0.4040
Zn Hf Rb
1 1 1
direct
0.7500 0.7500 0.7500 Zn
0.2500 0.2500 0.2500 Hf
0.0000 0.0000 0.0000 Rb
```

spin magnetization = 0.03 Bohr magnetons per cell

=====

Arrangement b

RbHfZn: optimized geometry, PBE.

POSCAR file:
```
RbHfZn
1.0
0.0000 3.5398 3.5398
3.5398 0.0000 3.5398
3.5398 3.5398 0.0000
Hf Zn Rb
1 1 1
direct
0.0000 0.0000 0.0000 Hf
0.7500 0.7500 0.7500 Zn
0.2500 0.2500 0.2500 Rb
```

spin magnetization = 0.00 Bohr magnetons per cell

=====

Most stable structure, least stable structure: arrangement b, arrangement a.

=====

Arrangement a

HfReSb2: optimized geometry, PBE.

POSCAR file:
```
HfReSb2
1.0
1.2968 -2.8845 3.7248
0.4275 1.8614 4.4976
-3.2662 -1.1592 3.4445
Hf Sb Re
1 2 1
direct
0.2500 0.2500 0.2500 Hf
0.7500 0.7500 0.7500 Sb
0.0000 0.0000 0.0000 Sb
0.5000 0.5000 0.5000 Re
```

spin magnetization = 0.00 Bohr magnetons per cell

=====

Arrangement b

HfReSb2: optimized geometry, PBE.

POSCAR file:
```
HfReSb2
1.0
4.8735 -3.4372 0.0000
4.8735 3.4372 0.0000
0.0000 0.0000 5.3591
Hf Sb Re
2 4 2
direct
0.1529 0.8471 0.2500 Hf
0.8471 0.1529 0.7500 Hf
0.9350 0.3978 0.2500 Sb
0.0650 0.6022 0.7500 Sb
0.3978 0.9350 0.7500 Sb
0.6022 0.0650 0.2500 Sb
0.5000 0.5000 0.0000 Re
0.5000 0.5000 0.5000 Re
```

spin magnetization = 0.60 Bohr magnetons per cell

=====

Most stable structure, least stable structure: arrangement b, arrangement a.

=====

Arrangement a

HfReTc: optimized geometry, PBE.

POSCAR file:
```
HfReTc
1.0
1.9947 -1.3330 3.6408
-1.1879 1.6392 3.8618
-2.1346 -2.4988 2.8655
Re Tc Hf
1 1 1
direct
0.2500 0.2500 0.2500 Re
0.7500 0.7500 0.7500 Tc
0.0000 0.0000 0.0000 Hf
```

spin magnetization = 0.74 Bohr magnetons per cell

=====

Arrangement b

HfReTc: optimized geometry, PBE.

POSCAR file:
```
HfReTc
1.0
-0.2481 -4.2931 0.5531
0.3334 -1.6964 3.9761
-3.4794 -1.7419 1.9125
Tc Hf Re
1 1 1
direct
0.7500 0.7500 0.7500 Tc
0.5000 0.5000 0.5000 Hf
0.0000 0.0000 0.0000 Re
```

spin magnetization = 0.00 Bohr magnetons per cell

=====

Most stable structure, least stable structure: arrangement b, arrangement a.

=====

Arrangement a

HfURe: optimized geometry, PBE.

POSCAR file:
```
HfURe
1.0
0.0000 3.1820 3.1820
3.1820 0.0000 3.1820
3.1820 3.1820 0.0000
U Hf Re
1 1 1
direct
0.0000 0.0000 0.0000 U
0.2500 0.2500 0.2500 Hf
0.7500 0.7500 0.7500 Re
```

spin magnetization = 0.07 Bohr magnetons per cell

=====

Arrangement b

HfURe: optimized geometry, PBE.

POSCAR file:
```
HfURe
1.0
0.0000 3.2601 3.2601
3.2601 0.0000 3.2601
3.2601 3.2601 0.0000
Re U Hf
1 1 1
direct
0.2500 0.2500 0.2500 Re
0.5000 0.5000 0.5000 U
0.0000 0.0000 0.0000 Hf
```

spin magnetization = 2.49 Bohr magnetons per cell

=====

Most stable structure, least stable structure: arrangement b, arrangement a.

=====

Arrangement a

HfReW: optimized geometry, PBE.

POSCAR file:
```
HfReW
1.0
-2.3021 -8.2419 1.3961
-0.1401 0.9289 5.2526
-4.5316 1.6523 2.2820
Hf Re W
4 4 4
direct
0.8122 0.6665 0.6665 Hf
0.6907 0.3332 0.3332 Hf
0.3093 0.3332 0.3332 Hf
0.1878 0.6665 0.6665 Hf
0.0000 0.1722 0.6554 Re
0.0000 0.6554 0.1722 Re
0.5000 0.8302 0.8302 Re
0.0000 0.1725 0.1725 Re
0.7549 0.9988 0.9988 W
0.5000 0.8319 0.3402 W
0.2451 0.9988 0.9988 W
0.5000 0.3402 0.8319 W
```

spin magnetization = 0.03 Bohr magnetons per cell

=====

Arrangement b

HfReW: optimized geometry, PBE.

POSCAR file:
```
HfReW
1.0
4.2304 -1.0658 0.5873
1.0809 -4.0348 1.3891
1.9609 -2.8229 -2.7503
W Hf Re
1 1 1
direct
0.7500 0.7500 0.7500 W
0.2500 0.2500 0.2500 Hf
0.0000 0.0000 0.0000 Re
```

spin magnetization = 0.00 Bohr magnetons per cell

=====

Most stable structure, least stable structure: arrangement a, arrangement b.

=====

Arrangement a

HfTl2S3: optimized geometry, PBE.

POSCAR file:
```
HfTl2S3
1.0
8.0027 0.0000 0.0000
0.0000 3.7727 0.0000
-1.4421 0.0000 10.4309
Tl Hf S
4 2 6
direct
0.2527 0.7500 0.5082 Tl
0.0582 0.2500 0.1614 Tl
0.9418 0.7500 0.8386 Tl
0.7473 0.2500 0.4918 Tl
0.5851 0.7500 0.1608 Hf
0.4149 0.2500 0.8392 Hf
0.5435 0.7500 0.7214 S
0.3157 0.7500 0.9831 S
0.4565 0.2500 0.2786 S
0.1418 0.2500 0.6976 S
0.8582 0.7500 0.3024 S
0.6843 0.2500 0.0169 S
```

spin magnetization = 0.01 Bohr magnetons per cell

=====

Arrangement b

HfTl2S3: optimized geometry, PBE.

POSCAR file:
```
HfTl2S3
1.0
-4.6685 -10.8476 -9.6253
3.5243 -0.4605 -1.1904
1.6995 -7.9112 8.0915
Hf S Tl
4 12 8
direct
0.4305 0.2500 0.8798 Hf
0.0695 0.7500 0.3798 Hf
0.5695 0.7500 0.1202 Hf
0.9305 0.2500 0.6202 Hf
0.0644 0.7500 0.1622 S
0.9356 0.2500 0.8378 S
0.4507 0.2500 0.1094 S
0.5644 0.7500 0.3378 S
0.4356 0.2500 0.6622 S
0.5493 0.7500 0.8906 S
0.6812 0.2500 0.1033 S
0.9507 0.2500 0.3906 S
0.8188 0.7500 0.6033 S
0.3188 0.7500 0.8967 S
0.0493 0.7500 0.6094 S
0.1812 0.2500 0.3967 S
0.2182 0.2500 0.1366 Tl
0.4176 0.2500 0.3702 Tl
0.7818 0.7500 0.8634 Tl
0.5824 0.7500 0.6298 Tl
0.0824 0.7500 0.8702 Tl
0.9176 0.2500 0.1298 Tl
0.7182 0.2500 0.3634 Tl
0.2818 0.7500 0.6366 Tl
```

spin magnetization = 0.02 Bohr magnetons per cell

=====

Most stable structure, least stable structure: arrangement a, arrangement b.

=====

Arrangement a

SmHfSb: optimized geometry, PBE.

POSCAR file:
```
SmHfSb
1.0
1.8136 1.0469 4.4736
-2.5000 2.9817 3.0427
-2.1668 -1.8452 4.0372
Hf Sm Sb
1 1 1
direct
0.5000 0.5000 0.5000 Hf
0.0000 0.0000 0.0000 Sm
0.2500 0.2500 0.2500 Sb
```

spin magnetization = 0.16 Bohr magnetons per cell

=====

Arrangement b

SmHfSb: optimized geometry, PBE.

POSCAR file:
```
SmHfSb
1.0
0.0000 3.6267 3.6267
3.6267 0.0000 3.6267
3.6267 3.6267 0.0000
Hf Sb Sm
1 1 1
direct
0.2500 0.2500 0.2500 Hf
0.7500 0.7500 0.7500 Sb
0.0000 0.0000 0.0000 Sm
```

spin magnetization = 2.16 Bohr magnetons per cell

=====

Most stable structure, least stable structure: arrangement a, arrangement b.

=====

Arrangement a

Hf3Zr3ZnSb2: optimized geometry, PBE.

POSCAR file:
```
Hf3Zr3ZnSb2
1.0
7.6887 0.0000 0.0000
-3.8444 6.6586 0.0000
0.0000 0.0000 3.8125
Zr Sb Hf Zn
3 2 3 1
direct
0.2464 0.0000 0.5000 Zr
0.0000 0.2464 0.5000 Zr
0.7536 0.7536 0.5000 Zr
0.3333 0.6667 0.5000 Sb
0.6667 0.3333 0.5000 Sb
0.5993 0.0000 0.0000 Hf
0.0000 0.5993 0.0000 Hf
0.4007 0.4007 0.0000 Hf
0.0000 0.0000 0.0000 Zn
```

spin magnetization = 0.01 Bohr magnetons per cell

=====

Arrangement b

Hf3Zr3ZnSb2: optimized geometry, PBE.

POSCAR file:
```
Hf3Zr3ZnSb2
1.0
7.6433 0.0000 0.0000
-3.8216 6.6193 0.0000
0.0000 0.0000 3.8409
Hf Sb Zr Zn
3 2 3 1
direct
0.7583 0.7583 0.5000 Hf
0.0000 0.2417 0.5000 Hf
0.2417 0.0000 0.5000 Hf
0.3333 0.6667 0.5000 Sb
0.6667 0.3333 0.5000 Sb
0.5966 0.0000 0.0000 Zr
0.4034 0.4034 0.0000 Zr
0.0000 0.5966 0.0000 Zr
0.0000 0.0000 0.0000 Zn
```

spin magnetization = 0.01 Bohr magnetons per cell

=====

Most stable structure, least stable structure: arrangement b, arrangement a.

=====

Arrangement a

SmHfSc: optimized geometry, PBE.

POSCAR file:
```
SmHfSc
1.0
-3.9771 1.5731 2.6825
-3.0136 3.6109 -1.8349
-4.6782 -1.1445 -1.5140
Sc Sm Hf
1 1 1
direct
0.2500 0.2500 0.2500 Sc
0.7500 0.7500 0.7500 Sm
0.0000 0.0000 0.0000 Hf
```

spin magnetization = 0.85 Bohr magnetons per cell

=====

Arrangement b

SmHfSc: optimized geometry, PBE.

POSCAR file:
```
SmHfSc
1.0
0.0000 3.5575 3.5575
3.5575 0.0000 3.5575
3.5575 3.5575 0.0000
Sc Sm Hf
1 1 1
direct
0.7500 0.7500 0.7500 Sc
0.0000 0.0000 0.0000 Sm
0.2500 0.2500 0.2500 Hf
```

spin magnetization = 0.01 Bohr magnetons per cell

=====

Most stable structure, least stable structure: arrangement a, arrangement b.